(one)
# SiHPt2, relaxed, DFT PBE
data_SiHPt2
_chemical_formula_sum 'Si3 H3 Pt6'
_symmetry_space_group_name_H-M 'R -3 m'
_symmetry_Int_Tables_number 166
_symmetry_space_group_name_Hall '-R 3 2"'
_cell_length_a 3.8507
_cell_length_b 3.8507
_cell_length_c 15.7279
_cell_angle_alpha 90.00
_cell_angle_beta 90.00
_cell_angle_gamma 120.00
loop_
_atom_site_label
_atom_site_type_symbol
_atom_site_fract_x
_atom_site_fract_y
_atom_site_fract_z
_atom_site_occupancy
Si1 Si 0.0000 0.0000 0.0000 1
H1 H 0.0000 0.0000 0.5000 1
Pt1 Pt 0.0000 0.0000 0.3912 1
# Total moment = 0.0 μB/f.u.

(two)
# SiHPt2, relaxed, DFT PBE
data_SiHPt2
_chemical_formula_sum 'Si4 H4 Pt8'
_symmetry_space_group_name_H-M 'F m -3 m'
_symmetry_Int_Tables_number 225
_symmetry_space_group_name_Hall '-F 4 2 3'
_cell_length_a 5.8110
_cell_length_b 5.8110
_cell_length_c 5.8110
_cell_angle_alpha 90.00
_cell_angle_beta 90.00
_cell_angle_gamma 90.00
loop_
_atom_site_label
_atom_site_type_symbol
_atom_site_fract_x
_atom_site_fract_y
_atom_site_fract_z
_atom_site_occupancy
Si1 Si 0.0000 0.0000 0.0000 1
H1 H 0.0000 0.0000 0.5000 1
Pt1 Pt 0.2500 0.2500 0.2500 1
# Total moment = 0.0 μB/f.u.

(three)
# SiHPt2, relaxed, DFT PBE
data_SiHPt2
_chemical_formula_sum 'Si4 H4 Pt8'
_symmetry_space_group_name_H-M 'I -4 2 d'
_symmetry_Int_Tables_number 122
_symmetry_space_group_name_Hall 'I -4 2bw'
_cell_length_a 4.9977
_cell_length_b 4.9977
_cell_length_c 8.7965
_cell_angle_alpha 90.00
_cell_angle_beta 90.00
_cell_angle_gamma 90.00
loop_
_atom_site_label
_atom_site_type_symbol
_atom_site_fract_x
_atom_site_fract_y
_atom_site_fract_z
_atom_site_occupancy
Si1 Si 0.0000 0.0000 0.0000 1
H1 H 0.0000 0.0000 0.5000 1
Pt1 Pt 0.1697 0.2500 0.6250 1
# Total moment = 0.0 μB/f.u.

Which structure is the least stable? The one labeled (two).

(one)
# SiH2Pt, relaxed, DFT PBE
data_SiH2Pt
_chemical_formula_sum 'Si4 H8 Pt4'
_symmetry_space_group_name_H-M 'I -4 2 d'
_symmetry_Int_Tables_number 122
_symmetry_space_group_name_Hall 'I -4 2bw'
_cell_length_a 4.5127
_cell_length_b 4.5127
_cell_length_c 8.4479
_cell_angle_alpha 90.00
_cell_angle_beta 90.00
_cell_angle_gamma 90.00
loop_
_atom_site_label
_atom_site_type_symbol
_atom_site_fract_x
_atom_site_fract_y
_atom_site_fract_z
_atom_site_occupancy
Si1 Si 0.0000 0.0000 0.0000 1
H1 H 0.1833 0.2500 0.6250 1
Pt1 Pt 0.0000 0.0000 0.5000 1
# Total moment = 0.0 μB/f.u.

(two)
# SiH2Pt, relaxed, DFT PBE
data_SiH2Pt
_chemical_formula_sum 'Si4 H8 Pt4'
_symmetry_space_group_name_H-M 'F m -3 m'
_symmetry_Int_Tables_number 225
_symmetry_space_group_name_Hall '-F 4 2 3'
_cell_length_a 5.3251
_cell_length_b 5.3251
_cell_length_c 5.3251
_cell_angle_alpha 90.00
_cell_angle_beta 90.00
_cell_angle_gamma 90.00
loop_
_atom_site_label
_atom_site_type_symbol
_atom_site_fract_x
_atom_site_fract_y
_atom_site_fract_z
_atom_site_occupancy
Si1 Si 0.0000 0.0000 0.0000 1
H1 H 0.2500 0.2500 0.2500 1
Pt1 Pt 0.0000 0.0000 0.5000 1
# Total moment = 0.0 μB/f.u.

Which structure is the least stable? The one labeled (two).

(one)
# Si3HPt, relaxed, DFT PBE
data_Si3HPt
_chemical_formula_sum 'Si3 H1 Pt1'
_symmetry_space_group_name_H-M 'P m -3 m'
_symmetry_Int_Tables_number 221
_symmetry_space_group_name_Hall '-P 4 2 3'
_cell_length_a 3.9686
_cell_length_b 3.9686
_cell_length_c 3.9686
_cell_angle_alpha 90.00
_cell_angle_beta 90.00
_cell_angle_gamma 90.00
loop_
_atom_site_label
_atom_site_type_symbol
_atom_site_fract_x
_atom_site_fract_y
_atom_site_fract_z
_atom_site_occupancy
Si1 Si 0.0000 0.0000 0.5000 1
H1 H 0.0000 0.0000 0.0000 1
Pt1 Pt 0.5000 0.5000 0.5000 1
# Total moment = 0.0 μB/f.u.

(two)
# Si3HPt, relaxed, DFT PBE
data_Si3HPt
_chemical_formula_sum 'Si3 H1 Pt1'
_symmetry_space_group_name_H-M 'P m -3 m'
_symmetry_Int_Tables_number 221
_symmetry_space_group_name_Hall '-P 4 2 3'
_cell_length_a 4.7110
_cell_length_b 4.7110
_cell_length_c 4.7110
_cell_angle_alpha 90.00
_cell_angle_beta 90.00
_cell_angle_gamma 90.00
loop_
_atom_site_label
_atom_site_type_symbol
_atom_site_fract_x
_atom_site_fract_y
_atom_site_fract_z
_atom_site_occupancy
Si1 Si 0.0000 0.0000 0.5000 1
H1 H 0.5000 0.5000 0.5000 1
Pt1 Pt 0.0000 0.0000 0.0000 1
# Total moment = 0.0 μB/f.u.

Which structure is the least stable? The one labeled (two).

(one)
# SmH2Pt, relaxed, DFT PBE
data_SmH2Pt
_chemical_formula_sum 'Sm2 H4 Pt2'
_symmetry_space_group_name_H-M 'P 1 21/m 1'
_symmetry_Int_Tables_number 11
_symmetry_space_group_name_Hall '-P 2yb'
_cell_length_a 3.7982
_cell_length_b 4.3736
_cell_length_c 6.4467
_cell_angle_alpha 90.00
_cell_angle_beta 106.98
_cell_angle_gamma 90.00
loop_
_atom_site_label
_atom_site_type_symbol
_atom_site_fract_x
_atom_site_fract_y
_atom_site_fract_z
_atom_site_occupancy
Sm1 Sm 0.1485 0.2500 0.2954 1
H1 H 0.0635 0.7500 0.1242 1
H2 H 0.2480 0.7500 0.4940 1
Pt1 Pt 0.4296 0.2500 0.8626 1
# Total moment = 0.0 μB/f.u.

(two)
# SmH2Pt, relaxed, DFT PBE
data_SmH2Pt
_chemical_formula_sum 'Sm3 H6 Pt3'
_symmetry_space_group_name_H-M 'R -3 m'
_symmetry_Int_Tables_number 166
_symmetry_space_group_name_Hall '-R 3 2"'
_cell_length_a 4.2067
_cell_length_b 4.2067
_cell_length_c 11.1862
_cell_angle_alpha 90.00
_cell_angle_beta 90.00
_cell_angle_gamma 120.00
loop_
_atom_site_label
_atom_site_type_symbol
_atom_site_fract_x
_atom_site_fract_y
_atom_site_fract_z
_atom_site_occupancy
Sm1 Sm 0.0000 0.0000 0.0000 1
H1 H 0.0000 0.0000 0.3502 1
Pt1 Pt 0.0000 0.0000 0.5000 1
# Total moment = 0.0 μB/f.u.

Which structure is the least stable? The one labeled (one).

(one)
# SmHPt, relaxed, DFT PBE
data_SmHPt
_chemical_formula_sum 'Sm16 H16 Pt16'
_symmetry_space_group_name_H-M 'F d d d'
_symmetry_Int_Tables_number 70
_cell_length_a 8.1598
_cell_length_b 9.2328
_cell_length_c 13.3419
_cell_angle_alpha 90.00
_cell_angle_beta 90.00
_cell_angle_gamma 90.00
loop_
_symmetry_equiv_pos_as_xyz
'x,y,z'
'-x,-y,-z'
'-x+1/4,-y+1/4,z'
'x+1/4,y+1/4,-z'
'x,-y+1/4,-z+1/4'
'-x,y+1/4,z+1/4'
'-x+1/4,y,-z+1/4'
'x+1/4,-y,z+1/4'
'x,y+1/2,z+1/2'
'-x,-y+1/2,-z+1/2'
'-x+1/4,-y+3/4,z+1/2'
'x+1/4,y+3/4,-z+1/2'
'x,-y+3/4,-z+3/4'
'-x,y+3/4,z+3/4'
'-x+1/4,y+1/2,-z+3/4'
'x+1/4,-y+1/2,z+3/4'
'x+1/2,y,z+1/2'
'-x+1/2,-y,-z+1/2'
'-x+3/4,-y+1/4,z+1/2'
'x+3/4,y+1/4,-z+1/2'
'x+1/2,-y+1/4,-z+3/4'
'-x+1/2,y+1/4,z+3/4'
'-x+3/4,y,-z+3/4'
'x+3/4,-y,z+3/4'
'x+1/2,y+1/2,z'
'-x+1/2,-y+1/2,-z'
'-x+3/4,-y+3/4,z'
'x+3/4,y+3/4,-z'
'x+1/2,-y+3/4,-z+1/4'
'-x+1/2,y+3/4,z+1/4'
'-x+3/4,y+1/2,-z+1/4'
'x+3/4,-y+1/2,z+1/4'
loop_
_atom_site_label
_atom_site_type_symbol
_atom_site_fract_x
_atom_site_fract_y
_atom_site_fract_z
_atom_site_occupancy
Sm1 Sm 0.1250 0.3479 0.1250 1
H1 H 0.0000 0.0000 0.0000 1
Pt1 Pt 0.1250 0.1250 0.5188 1
# Total moment = 0.0 μB/f.u.

(two)
# SmHPt, relaxed, DFT PBE
data_SmHPt
_chemical_formula_sum 'Sm1 H1 Pt1'
_symmetry_space_group_name_H-M 'P -6 m 2'
_symmetry_Int_Tables_number 187
_symmetry_space_group_name_Hall 'P -6 2'
_cell_length_a 4.0245
_cell_length_b 4.0245
_cell_length_c 3.6370
_cell_angle_alpha 90.00
_cell_angle_beta 90.00
_cell_angle_gamma 120.00
loop_
_atom_site_label
_atom_site_type_symbol
_atom_site_fract_x
_atom_site_fract_y
_atom_site_fract_z
_atom_site_occupancy
Sm1 Sm 0.0000 0.0000 0.0000 1
H1 H 0.3333 0.6667 0.5000 1
Pt1 Pt 0.6667 0.3333 0.5000 1
# Total moment = 0.0 μB/f.u.

Which structure is the least stable? The one labeled (one).

(one)
# SmHPt, relaxed, DFT PBE
data_SmHPt
_chemical_formula_sum 'Sm4 H4 Pt4'
_symmetry_space_group_name_H-M 'C m c m'
_symmetry_Int_Tables_number 63
_symmetry_space_group_name_Hall '-C 2c 2'
_cell_length_a 3.8213
_cell_length_b 10.8602
_cell_length_c 4.7613
_cell_angle_alpha 90.00
_cell_angle_beta 90.00
_cell_angle_gamma 90.00
loop_
_atom_site_label
_atom_site_type_symbol
_atom_site_fract_x
_atom_site_fract_y
_atom_site_fract_z
_atom_site_occupancy
Sm1 Sm 0.0000 0.1366 0.2500 1
H1 H 0.0000 0.1001 0.7500 1
Pt1 Pt 0.0000 0.4110 0.2500 1
# Total moment = 0.0 μB/f.u.

(two)
# SmHPt, relaxed, DFT PBE
data_SmHPt
_chemical_formula_sum 'Sm2 H2 Pt2'
_symmetry_space_group_name_H-M 'I 4 m m'
_symmetry_Int_Tables_number 107
_symmetry_space_group_name_Hall 'I 4 -2'
_cell_length_a 3.8083
_cell_length_b 3.8083
_cell_length_c 8.0240
_cell_angle_alpha 90.00
_cell_angle_beta 90.00
_cell_angle_gamma 90.00
loop_
_atom_site_label
_atom_site_type_symbol
_atom_site_fract_x
_atom_site_fract_y
_atom_site_fract_z
_atom_site_occupancy
Sm1 Sm 0.0000 0.0000 0.0000 1
H1 H 0.0000 0.0000 0.4155 1
Pt1 Pt 0.0000 0.0000 0.6314 1
# Total moment = 0.0 μB/f.u.

(three)
# SmHPt, relaxed, DFT PBE
data_SmHPt
_chemical_formula_sum 'Sm2 H2 Pt2'
_symmetry_space_group_name_H-M 'P 1 21 1'
_symmetry_Int_Tables_number 4
_symmetry_space_group_name_Hall 'P 2yb'
_cell_length_a 3.8118
_cell_length_b 4.5683
_cell_length_c 6.1632
_cell_angle_alpha 90.00
_cell_angle_beta 107.82
_cell_angle_gamma 90.00
loop_
_atom_site_label
_atom_site_type_symbol
_atom_site_fract_x
_atom_site_fract_y
_atom_site_fract_z
_atom_site_occupancy
Sm1 Sm 0.1285 0.0000 0.2588 1
H1 H 0.3068 0.2351 0.6099 1
Pt1 Pt 0.4207 0.9997 0.8411 1
# Total moment = 0.0 μB/f.u.

Which structure is the least stable? The one labeled (two).